NaDyTcN3 after structural relaxation, computed with GGA-PBE.

Summary:
energy relative to the elements, uncorrected	-2.9	eV per formula unit
E	-7.353	eV/atom
total magnetic moment	0.000	μB per atom

```
data_NaDyTcN3
_cell_length_a 13.296
_cell_length_b 3.860
_cell_length_c 6.964
_cell_angle_alpha 90.00
_cell_angle_beta 105.72
_cell_angle_gamma 90.00
_space_group_name_H-M_alt 'C 1 2/m 1'
_space_group_IT_number 12
_space_group_name_Hall '-C 2y'
loop_
_atom_site_label
_atom_site_type_symbol
_atom_site_fract_x
_atom_site_fract_y
_atom_site_fract_z
Na1 Na 0.148 0.000 0.077
Dy1 Dy 0.162 0.000 0.583
Tc1 Tc 0.001 0.500 0.695
N1 N 0.008 0.000 0.304
N2 N 0.144 0.500 0.813
N3 N 0.160 0.500 0.363
```